A plane-wave DFT calculation with GGA-PBE was carried out for a relaxed structure of Ni2Rh3.

abc: 3.912 8.073 8.871
angles: 90.00 90.00 90.00
Fractional coordinates of all 20 atoms:
Ni 0.250 0.145 0.469
Ni 0.250 0.355 0.969
Ni 0.750 0.855 0.531
Ni 0.750 0.645 0.031
Ni 0.750 0.544 0.692
Ni 0.750 0.956 0.192
Ni 0.250 0.456 0.308
Ni 0.250 0.044 0.808
Rh 0.250 0.639 0.538
Rh 0.250 0.861 0.038
Rh 0.750 0.361 0.462
Rh 0.750 0.139 0.962
Rh 0.750 0.125 0.657
Rh 0.750 0.375 0.157
Rh 0.250 0.875 0.343
Rh 0.250 0.625 0.843
Rh 0.250 0.341 0.686
Rh 0.250 0.159 0.186
Rh 0.750 0.659 0.314
Rh 0.750 0.841 0.814

* total magnetic moment: 0.00 μB per cell
* crystal system: orthorhombic
* DOS(E_F): 1.755 states/eV per atom
* polymorph energy (0 for the lowest one): 0.250 eV per atom


A plane-wave DFT calculation with GGA-PBE was carried out for a relaxed structure of Ni7Rh3.

abc: 3.632 5.170 6.816
angles: 100.90 105.45 90.00
Last column: magnetic moment on the atom in μB.
Fractional coordinates of all 10 atoms:
Ni 0.000 0.500 0.000  0.79
Ni 0.801 0.902 0.601  0.80
Ni 0.199 0.098 0.399  0.80
Ni 0.599 0.301 0.197  0.79
Ni 0.401 0.699 0.803  0.79
Ni 0.598 0.801 0.197  0.77
Ni 0.402 0.199 0.803  0.77
Rh 0.000 0.000 0.000  0.78
Rh 0.801 0.394 0.603  0.71
Rh 0.199 0.606 0.397  0.71

* total magnetic moment: 7.43 μB per cell
* E_tot: -6.216 eV/atom
* crystal system: monoclinic
* DOS(E_F): 1.610 states/eV per atom


A plane-wave DFT calculation with GGA-PBE was carried out for a relaxed structure of NiRh.

abc: 4.612 4.250 5.244
angles: 90.00 90.00 90.00
Last column: magnetic moment on the atom in μB.
Fractional coordinates of all 8 atoms:
Ni 0.082 0.250 0.123  0.84
Ni 0.418 0.750 0.623  0.84
Ni 0.582 0.250 0.377  0.84
Ni 0.918 0.750 0.877  0.84
Rh 0.092 0.250 0.627  0.79
Rh 0.408 0.750 0.127  0.79
Rh 0.592 0.250 0.873  0.79
Rh 0.908 0.750 0.373  0.79

* total magnetic moment: 6.36 μB per cell
* E_tot: -6.509 eV/atom
* crystal system: orthorhombic
* DOS(E_F): 2.063 states/eV per atom


A plane-wave DFT calculation with GGA-PBE was carried out for a relaxed structure of Ni2Rh.

abc: 2.642 4.181 6.801
angles: 90.01 101.12 90.00
Last column: magnetic moment on the atom in μB.
Fractional coordinates of all 6 atoms:
Ni 0.556 0.750 0.112  0.86
Ni 0.222 0.750 0.445  0.82
Ni 0.444 0.250 0.888  0.86
Ni 0.778 0.250 0.555  0.82
Rh 0.889 0.750 0.777  0.91
Rh 0.111 0.250 0.223  0.91

* total magnetic moment: 4.99 μB per cell
* E_tot: -6.259 eV/atom
* crystal system: monoclinic
* DOS(E_F): 1.443 states/eV per atom


A plane-wave DFT calculation with GGA-PBE was carried out for a relaxed structure of Ni3Rh5.

abc: 7.163 7.163 4.900
angles: 90.00 90.00 120.00
Last column: magnetic moment on the atom in μB.
Fractional coordinates of all 16 atoms:
Ni 0.000 0.406 0.750  0.67
Ni 0.000 0.594 0.250  0.67
Ni 0.406 0.000 0.750  0.67
Ni 0.406 0.406 0.250  0.67
Ni 0.594 0.000 0.250  0.67
Ni 0.594 0.594 0.750  0.67
Rh 0.000 0.228 0.250  0.99
Rh 0.000 0.772 0.750  0.99
Rh 0.228 0.000 0.250  0.99
Rh 0.228 0.228 0.750  0.99
Rh 0.333 0.667 0.000  0.56
Rh 0.333 0.667 0.500  0.56
Rh 0.667 0.333 0.000  0.56
Rh 0.667 0.333 0.500  0.56
Rh 0.772 0.000 0.750  0.99
Rh 0.772 0.772 0.250  0.99

* total magnetic moment: 11.99 μB per cell
* E_tot: -6.505 eV/atom
* crystal system: hexagonal
* DOS(E_F): 1.951 states/eV per atom


A plane-wave DFT calculation with GGA-PBE was carried out for a relaxed structure of NiRh.

abc: 7.100 7.100 4.466
angles: 90.00 90.00 90.00
Fractional coordinates of all 16 atoms:
Ni 0.204 0.102 0.000
Ni 0.796 0.898 0.000
Ni 0.898 0.204 0.000
Ni 0.102 0.796 0.000
Ni 0.704 0.602 0.500
Ni 0.296 0.398 0.500
Ni 0.398 0.704 0.500
Ni 0.602 0.296 0.500
Rh 0.449 0.822 0.000
Rh 0.551 0.178 0.000
Rh 0.178 0.449 0.000
Rh 0.822 0.551 0.000
Rh 0.949 0.322 0.500
Rh 0.051 0.678 0.500
Rh 0.678 0.949 0.500
Rh 0.322 0.051 0.500

* total magnetic moment: 0.06 μB per cell
* E_tot: -6.091 eV/atom
* crystal system: tetragonal
* DOS(E_F): 2.021 states/eV per atom